# 1
## RbNbTlAsPd (GGA-PBE)

Data for an optimized crystal structure of RbNbTlAsPd.

Results
The calculation puts the total DFT energy (no corrections) at -4.786 eV/atom.

a = 9.2162 Å, b = 9.2162 Å, c = 3.0704 Å
α = 91.17°, β = 91.17°, γ = 27.70°
Last column: nearest neighbours and their distance in Å.
Positions (direct):
Rb: 0.0000 0.0000 0.0000  2 Rb 3.07
Nb: 0.7552 0.7552 0.9451  1 As 2.60, 2 Pd 2.86
Tl: 0.3492 0.3492 0.4713  1 Pd 2.78, 2 Tl 3.07
As: 0.6270 0.6270 0.5333  2 Pd 2.54, 1 Nb 2.60
Pd: 0.1938 0.1938 0.4120  2 As 2.54, 1 Tl 2.78

# 2
## RbNbTlAsPd (GGA-PBE)

Data for an optimized crystal structure of RbNbTlAsPd.

Results
The calculation puts the total DFT energy (no corrections) at -4.624 eV/atom.

a = 4.6221 Å, b = 5.2165 Å, c = 5.7054 Å
α = 86.58°, β = 80.49°, γ = 89.28°
Last column: nearest neighbours and their distance in Å.
Positions (direct):
Rb: 0.0000 0.0000 0.0000  2 Pd 3.38-3.41, 4 Tl 3.39-3.69, 3 As 3.40-3.45
Nb: 0.4049 0.5679 0.4342  2 As 2.58-2.64, 2 Pd 2.59-2.62
Tl: 0.5367 0.5279 0.9141  2 Nb 2.90-2.95, 1 Pd 2.91
As: 0.4090 0.0614 0.4473  2 Nb 2.58-2.64, 2 Pd 2.74-2.77
Pd: 0.9008 0.3423 0.4915  2 Nb 2.59-2.62, 2 As 2.74-2.77

# 3
## ScNb2AsPd (GGA-PBE)

Data for an optimized crystal structure of ScNb2AsPd.

Results
The calculation puts the total DFT energy (no corrections) at -6.400 eV/atom.

a = 4.9658 Å, b = 4.9658 Å, c = 4.5991 Å
α = 90.00°, β = 90.00°, γ = 90.00°
Last column: nearest neighbours and their distance in Å.
Positions (direct):
Sc: 0.0000 0.0000 0.0000  8 Nb 3.38, 4 As 3.51
Nb: 0.0000 0.5000 0.5000  2 Pd 2.48
Nb: 0.5000 0.0000 0.5000  2 Pd 2.48
As: 0.5000 0.5000 0.0000  2 Pd 2.30
Pd: 0.5000 0.5000 0.5000  2 As 2.30, 4 Nb 2.48

# 4
## NbAs2PdSe (GGA-PBE)

Data for an optimized crystal structure of NbAs2PdSe.

Results
The calculation puts the formation energy (no corrections) at 0.41 eV/atom.

a = 4.9967 Å, b = 4.9967 Å, c = 4.9410 Å
α = 90.00°, β = 90.00°, γ = 90.00°
Last column: nearest neighbours and their distance in Å.
Positions (direct):
Nb: 0.0000 0.0000 0.0000  2 Se 2.47, 4 As 2.50
As: 0.0000 0.5000 0.0000  2 Nb 2.50
As: 0.5000 0.0000 0.0000  2 Nb 2.50
Pd: 0.5000 0.5000 0.5000  8 As 3.51, 4 Se 3.53
Se: 0.0000 0.0000 0.5000  2 Nb 2.47

# 5
## NbAs2PdSe (GGA-PBE)

Data for an optimized crystal structure of NbAs2PdSe.

Results
The calculation puts the formation energy (no corrections) at 0.77 eV/atom.

a = 4.7575 Å, b = 4.7575 Å, c = 4.8761 Å
α = 90.00°, β = 90.00°, γ = 90.00°
Last column: nearest neighbours and their distance in Å.
Positions (direct):
Nb: 0.0000 0.0000 0.0000  4 Se 3.36, 8 As 3.41
As: 0.0000 0.5000 0.5000  2 Pd 2.38
As: 0.5000 0.0000 0.5000  2 Pd 2.38
Pd: 0.5000 0.5000 0.5000  4 As 2.38, 2 Se 2.44
Se: 0.5000 0.5000 0.0000  2 Pd 2.44

# 6
## Nb2TcAsPd (GGA-PBE)

Data for an optimized crystal structure of Nb2TcAsPd.

Results
The calculation puts the total DFT energy (no corrections) at -6.611 eV/atom.

a = 4.8324 Å, b = 4.8324 Å, c = 4.7204 Å
α = 90.00°, β = 90.00°, γ = 90.00°
Last column: nearest neighbours and their distance in Å.
Positions (direct):
Nb: 0.0000 0.5000 0.0000  2 Pd 2.42
Nb: 0.5000 0.0000 0.0000  2 Pd 2.42
Tc: 0.0000 0.0000 0.5000  2 Pd 2.36
As: 0.5000 0.5000 0.5000  8 Nb 3.38, 4 Tc 3.42
Pd: 0.0000 0.0000 0.0000  2 Tc 2.36, 4 Nb 2.42

# 7
## NbTeAs2Pd (GGA-PBE)

Data for an optimized crystal structure of NbTeAs2Pd.

Results
The calculation puts the formation energy (no corrections) at 0.68 eV/atom.

a = 4.7261 Å, b = 4.7261 Å, c = 5.4014 Å
α = 90.00°, β = 90.00°, γ = 90.00°
Last column: nearest neighbours and their distance in Å.
Positions (direct):
Nb: 0.0000 0.0000 0.0000  2 Pd 2.70
Te: 0.5000 0.5000 0.0000  4 Nb 3.34, 8 As 3.59
As: 0.0000 0.5000 0.5000  2 Pd 2.36
As: 0.5000 0.0000 0.5000  2 Pd 2.36
Pd: 0.0000 0.0000 0.5000  4 As 2.36

# 8
## Ti2NbAsPd (GGA-PBE)

Data for an optimized crystal structure of Ti2NbAsPd.

Results
The calculation puts the total DFT energy (no corrections) at -6.169 eV/atom.

a = 4.7527 Å, b = 4.7527 Å, c = 4.8597 Å
α = 90.00°, β = 90.00°, γ = 90.00°
Last column: nearest neighbours and their distance in Å.
Positions (direct):
Ti: 0.0000 0.5000 0.0000  2 Nb 2.38
Ti: 0.5000 0.0000 0.0000  2 Nb 2.38
Nb: 0.0000 0.0000 0.0000  4 Ti 2.38, 2 Pd 2.43
As: 0.5000 0.5000 0.5000  4 Pd 3.36, 8 Ti 3.40
Pd: 0.0000 0.0000 0.5000  2 Nb 2.43

# 9
## NbVAsPd2 (GGA-PBE)

Data for an optimized crystal structure of NbVAsPd2.

Results
The calculation puts the total DFT energy (no corrections) at -5.687 eV/atom.

a = 4.8946 Å, b = 4.8946 Å, c = 4.5078 Å
α = 90.00°, β = 90.00°, γ = 90.00°
Last column: nearest neighbours and their distance in Å.
Positions (direct):
Nb: 0.0000 0.0000 0.0000  2 V 2.25, 4 Pd 2.45
V: 0.0000 0.0000 0.5000  2 Nb 2.25
As: 0.5000 0.5000 0.5000  8 Pd 3.33, 4 V 3.46
Pd: 0.0000 0.5000 0.0000  2 Nb 2.45
Pd: 0.5000 0.0000 0.0000  2 Nb 2.45

# 10
## YNbAsPd2 (GGA-PBE)

Data for an optimized crystal structure of YNbAsPd2.

Results
The calculation puts the total DFT energy (no corrections) at -5.040 eV/atom.

a = 4.8995 Å, b = 4.8995 Å, c = 5.3454 Å
α = 90.00°, β = 90.00°, γ = 90.00°
Last column: nearest neighbours and their distance in Å.
Positions (direct):
Y: 0.0000 0.0000 0.0000  4 Pd 2.45, 2 Nb 2.67
Nb: 0.0000 0.0000 0.5000  2 Y 2.67
As: 0.5000 0.5000 0.5000  4 Nb 3.46, 8 Pd 3.63
Pd: 0.0000 0.5000 0.0000  2 Y 2.45
Pd: 0.5000 0.0000 0.0000  2 Y 2.45

# 11
## PmNbAs2 (GGA-PBE)

Data for an optimized crystal structure of PmNbAs2.

Results
The calculation puts the total DFT energy (no corrections) at -5.809 eV/atom.

a = 8.8743 Å, b = 8.8743 Å, c = 8.8743 Å
α = 25.69°, β = 25.69°, γ = 25.69°
Last column: nearest neighbours and their distance in Å.
Positions (direct):
Pm: 0.0000 0.0000 0.0000  6 As 2.93
Nb: 0.5000 0.5000 0.5000  2 As 2.45
As: 0.4047 0.4047 0.4047  1 Nb 2.45
As: 0.5953 0.5953 0.5953  1 Nb 2.45

# 12
## PmNbAs2 (GGA-PBE)

Data for an optimized crystal structure of PmNbAs2.

Results
The calculation puts the total DFT energy (no corrections) at -6.608 eV/atom.

a = 4.8482 Å, b = 4.8482 Å, c = 4.8482 Å
α = 60.00°, β = 60.00°, γ = 60.00°
Last column: nearest neighbours and their distance in Å.
Positions (direct):
Pm: 0.0000 0.0000 0.0000  8 As 2.97
Nb: 0.5000 0.5000 0.5000  8 As 2.97
As: 0.2500 0.2500 0.2500  4 Nb 2.97, 4 Pm 2.97
As: 0.7500 0.7500 0.7500  4 Nb 2.97, 4 Pm 2.97

# 13
## PmNbAs2 (GGA-PBE)

Data for an optimized crystal structure of PmNbAs2.

Results
The calculation puts the total DFT energy (no corrections) at -6.735 eV/atom.

a = 3.3536 Å, b = 3.3536 Å, c = 7.1083 Å
α = 90.00°, β = 90.00°, γ = 90.00°
Last column: nearest neighbours and their distance in Å.
Positions (direct):
Pm: 0.0000 0.0000 0.0000  8 As 3.14, 4 Pm 3.35
Nb: 0.0000 0.0000 0.5000  8 As 2.80
As: 0.5000 0.5000 0.2901  4 Nb 2.80, 1 As 2.98
As: 0.5000 0.5000 0.7099  4 Nb 2.80, 1 As 2.98

# 14
## PmNbAs2Rh5 (GGA-PBE)

Data for an optimized crystal structure of PmNbAs2Rh5.

Results
The calculation puts the total DFT energy (no corrections) at -7.038 eV/atom.

a = 4.0467 Å, b = 4.0467 Å, c = 10.8937 Å
α = 90.00°, β = 90.00°, γ = 90.00°
Last column: nearest neighbours and their distance in Å.
Positions (direct):
Pm: 0.0000 0.0000 0.0000  4 Rh 2.86
Nb: 0.5000 0.5000 0.5000  8 Rh 2.61
As: 0.5000 0.5000 0.2176  5 Rh 2.37-2.48
As: 0.5000 0.5000 0.7824  5 Rh 2.37-2.48
Rh: 0.0000 0.5000 0.3490  2 As 2.48, 2 Nb 2.61
Rh: 0.0000 0.5000 0.6510  2 As 2.48, 2 Nb 2.61
Rh: 0.5000 0.0000 0.3490  2 As 2.48, 2 Nb 2.61
Rh: 0.5000 0.0000 0.6510  2 As 2.48, 2 Nb 2.61
Rh: 0.5000 0.5000 0.0000  2 As 2.37

# 15
## Pm2NbAs4Rh3 (GGA-PBE)

Data for an optimized crystal structure of Pm2NbAs4Rh3.

Results
The calculation puts the total DFT energy (no corrections) at -6.881 eV/atom.

a = 4.3136 Å, b = 4.3136 Å, c = 10.2659 Å
α = 90.00°, β = 90.00°, γ = 90.00°
Last column: nearest neighbours and their distance in Å.
Positions (direct):
Pm: 0.0000 0.5000 0.2319  8 As 3.21-3.32, 6 Rh 3.26-3.50, 2 Nb 3.50
Pm: 0.5000 0.0000 0.7681  8 As 3.21-3.32, 6 Rh 3.26-3.50, 2 Nb 3.50
Nb: 0.0000 0.0000 0.5000  4 As 2.60
As: 0.0000 0.0000 0.0000  4 Rh 2.48
As: 0.0000 0.5000 0.6412  3 Rh 2.46-2.60, 2 Nb 2.60
As: 0.5000 0.0000 0.3588  3 Rh 2.46-2.60, 2 Nb 2.60
As: 0.5000 0.5000 0.0000  4 Rh 2.48
Rh: 0.0000 0.5000 0.8813  5 As 2.46-2.48
Rh: 0.5000 0.0000 0.1187  5 As 2.46-2.48
Rh: 0.5000 0.5000 0.5000  4 As 2.60

# 16
## Pr2NbAs4Rh3 (GGA-PBE)

Data for an optimized crystal structure of Pr2NbAs4Rh3.

Results
The calculation puts the total DFT energy (no corrections) at -6.897 eV/atom.

a = 4.3423 Å, b = 4.3423 Å, c = 10.2761 Å
α = 90.00°, β = 90.00°, γ = 90.00°
Last column: nearest neighbours and their distance in Å.
Positions (direct):
Pr: 0.0000 0.5000 0.2323  8 As 3.23-3.34, 7 Rh 3.29-3.59, 2 Nb 3.50
Pr: 0.5000 0.0000 0.7677  8 As 3.23-3.34, 7 Rh 3.29-3.59, 2 Nb 3.50
Nb: 0.0000 0.0000 0.5000  4 As 2.61
As: 0.0000 0.0000 0.0000  4 Rh 2.48
As: 0.0000 0.5000 0.6402  3 Rh 2.49-2.61, 2 Nb 2.61
As: 0.5000 0.0000 0.3598  3 Rh 2.49-2.61, 2 Nb 2.61
As: 0.5000 0.5000 0.0000  4 Rh 2.48
Rh: 0.0000 0.5000 0.8827  5 As 2.48-2.49
Rh: 0.5000 0.0000 0.1173  5 As 2.48-2.49
Rh: 0.5000 0.5000 0.5000  4 As 2.61

# 17
## PrNbAs2Rh5 (GGA-PBE)

Data for an optimized crystal structure of PrNbAs2Rh5.

Results
The calculation puts the total DFT energy (no corrections) at -7.043 eV/atom.

a = 4.0742 Å, b = 4.0742 Å, c = 10.8275 Å
α = 90.00°, β = 90.00°, γ = 90.00°
Last column: nearest neighbours and their distance in Å.
Positions (direct):
Pr: 0.0000 0.0000 0.0000  4 Rh 2.88
Nb: 0.5000 0.5000 0.5000  8 Rh 2.61
As: 0.5000 0.5000 0.2193  5 Rh 2.37-2.48
As: 0.5000 0.5000 0.7807  5 Rh 2.37-2.48
Rh: 0.0000 0.5000 0.3493  2 As 2.48, 2 Nb 2.61
Rh: 0.0000 0.5000 0.6507  2 As 2.48, 2 Nb 2.61
Rh: 0.5000 0.0000 0.3493  2 As 2.48, 2 Nb 2.61
Rh: 0.5000 0.0000 0.6507  2 As 2.48, 2 Nb 2.61
Rh: 0.5000 0.5000 0.0000  2 As 2.37

# 18
## Nb2As2Pt (GGA-PBE)

Data for an optimized crystal structure of Nb2As2Pt.

Results
The calculation puts the total DFT energy (no corrections) at -7.433 eV/atom.

a = 7.1077 Å, b = 7.1077 Å, c = 3.3683 Å
α = 90.00°, β = 90.00°, γ = 90.00°
Last column: nearest neighbours and their distance in Å.
Positions (direct):
Nb: 0.1454 0.3546 0.0000  6 As 2.65-2.70, 1 Nb 2.92
Nb: 0.3546 0.8546 0.0000  6 As 2.65-2.70, 1 Nb 2.92
Nb: 0.6454 0.1454 0.0000  6 As 2.65-2.70, 1 Nb 2.92
Nb: 0.8546 0.6454 0.0000  6 As 2.65-2.70, 1 Nb 2.92
As: 0.1512 0.6512 0.5000  6 Nb 2.65-2.70, 2 Pt 2.70
As: 0.3488 0.1512 0.5000  6 Nb 2.65-2.70, 2 Pt 2.70
As: 0.6512 0.8488 0.5000  6 Nb 2.65-2.70, 2 Pt 2.70
As: 0.8488 0.3488 0.5000  6 Nb 2.65-2.70, 2 Pt 2.70
Pt: 0.0000 0.0000 0.5000  4 As 2.70
Pt: 0.5000 0.5000 0.5000  4 As 2.70

# 19
## NbAs3Pt (GGA-PBE)

Data for an optimized crystal structure of NbAs3Pt.

Results
The calculation puts the total DFT energy (no corrections) at -5.327 eV/atom.

a = 4.9248 Å, b = 4.9248 Å, c = 4.9248 Å
α = 90.00°, β = 90.00°, γ = 90.00°
Last column: nearest neighbours and their distance in Å.
Positions (direct):
Nb: 0.0000 0.0000 0.0000  6 As 2.46
As: 0.0000 0.0000 0.5000  2 Nb 2.46
As: 0.0000 0.5000 0.0000  2 Nb 2.46
As: 0.5000 0.0000 0.0000  2 Nb 2.46
Pt: 0.5000 0.5000 0.5000  12 As 3.48

# 20
## NbAsPt3 (GGA-PBE)

Data for an optimized crystal structure of NbAsPt3.

Results
The calculation puts the total DFT energy (no corrections) at -5.498 eV/atom.

a = 4.8726 Å, b = 4.8726 Å, c = 4.8726 Å
α = 90.00°, β = 90.00°, γ = 90.00°
Last column: nearest neighbours and their distance in Å.
Positions (direct):
Nb: 0.0000 0.0000 0.0000  6 Pt 2.44
As: 0.5000 0.5000 0.5000  12 Pt 3.45
Pt: 0.0000 0.0000 0.5000  2 Nb 2.44
Pt: 0.0000 0.5000 0.0000  2 Nb 2.44
Pt: 0.5000 0.0000 0.0000  2 Nb 2.44

# 21
## NbAsPt3 (GGA-PBE)

Data for an optimized crystal structure of NbAsPt3.

Results
The calculation puts the total DFT energy (no corrections) at -6.006 eV/atom.

a = 4.6414 Å, b = 4.6414 Å, c = 4.6414 Å
α = 90.00°, β = 90.00°, γ = 90.00°
Last column: nearest neighbours and their distance in Å.
Positions (direct):
Nb: 0.0000 0.0000 0.0000  12 Pt 3.28
As: 0.5000 0.5000 0.5000  6 Pt 2.32
Pt: 0.0000 0.5000 0.5000  2 As 2.32
Pt: 0.5000 0.0000 0.5000  2 As 2.32
Pt: 0.5000 0.5000 0.0000  2 As 2.32

# 22
## NbAsPt2 (GGA-PBE)

Data for an optimized crystal structure of NbAsPt2.

Results
The calculation puts the total DFT energy (no corrections) at -6.899 eV/atom.

a = 9.9353 Å, b = 9.9353 Å, c = 9.9353 Å
α = 157.78°, β = 157.78°, γ = 31.62°
Last column: nearest neighbours and their distance in Å.
Positions (direct):
Nb: 0.0000 0.0000 0.0000  4 As 2.71, 4 Pt 2.75
Nb: 0.7500 0.2500 0.5000  4 As 2.71, 4 Pt 2.75
As: 0.2500 0.7500 0.5000  4 Nb 2.71, 4 Pt 2.74
As: 0.5000 0.5000 0.0000  4 Nb 2.71, 4 Pt 2.74
Pt: 0.1276 0.6250 0.0026  4 Pt 2.69-2.72, 2 As 2.74, 2 Nb 2.75
Pt: 0.3750 0.3776 0.5026  4 Pt 2.69-2.72, 2 As 2.74, 2 Nb 2.75
Pt: 0.6224 0.1250 0.9974  4 Pt 2.69-2.72, 2 As 2.74, 2 Nb 2.75
Pt: 0.8750 0.8724 0.4974  4 Pt 2.69-2.72, 2 As 2.74, 2 Nb 2.75

# 23
## Nb3AsPt (GGA-PBE)

Data for an optimized crystal structure of Nb3AsPt.

Results
The calculation puts the total DFT energy (no corrections) at -7.162 eV/atom.

a = 4.9055 Å, b = 4.9055 Å, c = 4.9055 Å
α = 90.00°, β = 90.00°, γ = 90.00°
Last column: nearest neighbours and their distance in Å.
Positions (direct):
Nb: 0.0000 0.0000 0.5000  2 Pt 2.45
Nb: 0.0000 0.5000 0.0000  2 Pt 2.45
Nb: 0.5000 0.0000 0.0000  2 Pt 2.45
As: 0.5000 0.5000 0.5000  12 Nb 3.47
Pt: 0.0000 0.0000 0.0000  6 Nb 2.45

# 24
## Nb3AsPt (GGA-PBE)

Data for an optimized crystal structure of Nb3AsPt.

Results
The calculation puts the total DFT energy (no corrections) at -7.539 eV/atom.

a = 4.6900 Å, b = 4.6900 Å, c = 4.6900 Å
α = 90.00°, β = 90.00°, γ = 90.00°
Last column: nearest neighbours and their distance in Å.
Positions (direct):
Nb: 0.0000 0.0000 0.5000  2 As 2.35
Nb: 0.0000 0.5000 0.0000  2 As 2.35
Nb: 0.5000 0.0000 0.0000  2 As 2.35
As: 0.0000 0.0000 0.0000  6 Nb 2.35
Pt: 0.5000 0.5000 0.5000  12 Nb 3.32

# 25
## RbNbAs2Pt (GGA-PBE)

Data for an optimized crystal structure of RbNbAs2Pt.

Results
The calculation puts the total DFT energy (no corrections) at -5.209 eV/atom.

a = 5.0699 Å, b = 5.0699 Å, c = 5.1552 Å
α = 90.00°, β = 90.00°, γ = 90.00°
Last column: nearest neighbours and their distance in Å.
Positions (direct):
Rb: 0.0000 0.0000 0.0000  4 Pt 3.58, 8 As 3.62
Nb: 0.5000 0.5000 0.5000  4 As 2.53, 2 Pt 2.58
As: 0.0000 0.5000 0.5000  2 Nb 2.53
As: 0.5000 0.0000 0.5000  2 Nb 2.53
Pt: 0.5000 0.5000 0.0000  2 Nb 2.58

# 26
## TiNbAsPt2 (GGA-PBE)

Data for an optimized crystal structure of TiNbAsPt2.

Results
The calculation puts the total DFT energy (no corrections) at -6.404 eV/atom.

a = 4.6518 Å, b = 4.6518 Å, c = 4.6552 Å
α = 90.00°, β = 90.00°, γ = 90.00°
Last column: nearest neighbours and their distance in Å.
Positions (direct):
Ti: 0.0000 0.0000 0.0000  4 Pt 2.33, 2 As 2.33
Nb: 0.5000 0.5000 0.5000  4 As 3.29, 8 Pt 3.29
As: 0.0000 0.0000 0.5000  2 Ti 2.33
Pt: 0.0000 0.5000 0.0000  2 Ti 2.33
Pt: 0.5000 0.0000 0.0000  2 Ti 2.33

# 27
## YNbAsPt2 (GGA-PBE)

Data for an optimized crystal structure of YNbAsPt2.

Results
The calculation puts the total DFT energy (no corrections) at -5.571 eV/atom.

a = 4.9660 Å, b = 4.9660 Å, c = 5.1323 Å
α = 90.00°, β = 90.00°, γ = 90.00°
Last column: nearest neighbours and their distance in Å.
Positions (direct):
Y: 0.0000 0.0000 0.0000  4 Pt 2.48, 2 As 2.57
Nb: 0.5000 0.5000 0.5000  4 As 3.51, 8 Pt 3.57
As: 0.0000 0.0000 0.5000  2 Y 2.57
Pt: 0.0000 0.5000 0.0000  2 Y 2.48
Pt: 0.5000 0.0000 0.0000  2 Y 2.48